## Tm5InRh6 (PBE-GGA)

Data for a geometry-optimized Tm5InRh6 structure.

Cell: 7.477 7.477 6.717 Å, 90.00 90.00 143.13°
Positions (direct):
Tm  0.000  0.000  0.000
Tm  0.334  0.666  0.000
Tm  0.338  0.662  0.500
Tm  0.662  0.338  0.500
Tm  0.666  0.334  0.000
In  0.000  0.000  0.500
Rh  0.167  0.833  0.251
Rh  0.167  0.833  0.749
Rh  0.500  0.500  0.247
Rh  0.500  0.500  0.753
Rh  0.833  0.167  0.251
Rh  0.833  0.167  0.749

Values from the calculation:
- SG: Cmmm, No. 65
- Calculated density: 11.6 g cm⁻³
- Formation energy from the elements: -0.91 eV/atom
- Uncorrected energy: -6.681 eV per atom

***

## TmIn9Rh2 (PBE-GGA)

Data for a geometry-optimized TmIn9Rh2 structure.

Cell: 9.483 9.483 9.483 Å, 98.21 98.21 135.59°
Positions (direct):
Tm  0.375  0.625  0.750
Tm  0.625  0.375  0.250
In  0.098  0.547  0.310
In  0.098  0.788  0.551
In  0.125  0.875  0.250
In  0.212  0.263  0.310
In  0.212  0.902  0.949
In  0.263  0.212  0.810
In  0.263  0.453  0.051
In  0.453  0.263  0.551
In  0.453  0.902  0.190
In  0.547  0.098  0.810
In  0.547  0.737  0.449
In  0.737  0.547  0.949
In  0.737  0.788  0.190
In  0.788  0.098  0.051
In  0.788  0.737  0.690
In  0.875  0.125  0.750
In  0.902  0.212  0.449
In  0.902  0.453  0.690
Rh  0.000  0.000  0.000
Rh  0.000  0.000  0.500
Rh  0.000  0.500  0.000
Rh  0.500  0.000  0.500

Values from the calculation:
- SG: I4_1/amd, No. 141
- Calculated density: 8.5 g cm⁻³
- Formation energy from the elements: -0.10 eV/atom
- Uncorrected energy: -3.756 eV per atom

***

## TmIn4Rh5 (PBE-GGA)

Data for a geometry-optimized TmIn4Rh5 structure.

Cell: 3.301 3.301 15.945 Å, 90.00 90.00 90.00°
Positions (direct):
Tm  0.000  0.000  0.000
In  0.000  0.000  0.203
In  0.000  0.000  0.401
In  0.000  0.000  0.599
In  0.000  0.000  0.797
Rh  0.500  0.500  0.105
Rh  0.500  0.500  0.303
Rh  0.500  0.500  0.500
Rh  0.500  0.500  0.697
Rh  0.500  0.500  0.895

Values from the calculation:
- SG: P4/mmm, No. 123
- Calculated density: 10.9 g cm⁻³
- Formation energy from the elements: -0.54 eV/atom
- Uncorrected energy: -5.762 eV per atom

***

## Tm2In2Rh (PBE-GGA)

Data for a geometry-optimized Tm2In2Rh structure.

Cell: 10.224 10.224 10.224 Å, 160.72 160.72 27.40°
Positions (direct):
Tm  0.083  0.083  0.000
Tm  0.917  0.917  0.000
In  0.304  0.304  0.000
In  0.696  0.696  0.000
Rh  0.500  0.500  0.000

Values from the calculation:
- SG: I4/mmm, No. 139
- Calculated density: 9.6 g cm⁻³
- Formation energy from the elements: -0.53 eV/atom
- Uncorrected energy: -4.879 eV per atom

***

## Tm7InRh2 (PBE-GGA)

Data for a geometry-optimized Tm7InRh2 structure.

Cell: 8.053 8.053 5.133 Å, 90.00 90.00 114.08°
Positions (direct):
Tm  0.000  0.000  0.000
Tm  0.185  0.443  0.000
Tm  0.216  0.784  0.500
Tm  0.443  0.185  0.000
Tm  0.557  0.815  0.000
Tm  0.784  0.216  0.500
Tm  0.815  0.557  0.000
In  0.500  0.500  0.500
Rh  0.203  0.797  0.000
Rh  0.797  0.203  0.000

Values from the calculation:
- SG: Cmmm, No. 65
- Calculated density: 8.2 g cm⁻³
- Formation energy from the elements: -0.28 eV/atom
- Uncorrected energy: -5.151 eV per atom

***

## Tm11In9Rh4 (PBE-GGA)

Data for a geometry-optimized Tm11In9Rh4 structure.

Cell: 12.995 12.995 3.633 Å, 90.00 90.00 112.53°
Positions (direct):
Tm  0.000  0.000  0.000
Tm  0.079  0.416  0.000
Tm  0.161  0.839  0.000
Tm  0.312  0.312  0.000
Tm  0.374  0.626  0.000
Tm  0.416  0.079  0.000
Tm  0.584  0.921  0.000
Tm  0.626  0.374  0.000
Tm  0.688  0.688  0.000
Tm  0.839  0.161  0.000
Tm  0.921  0.584  0.000
In  0.074  0.217  0.500
In  0.156  0.632  0.500
In  0.217  0.074  0.500
In  0.368  0.844  0.500
In  0.500  0.500  0.500
In  0.632  0.156  0.500
In  0.783  0.926  0.500
In  0.844  0.368  0.500
In  0.926  0.783  0.500
Rh  0.247  0.449  0.500
Rh  0.449  0.247  0.500
Rh  0.551  0.753  0.500
Rh  0.753  0.551  0.500

Values from the calculation:
- SG: Cmmm, No. 65
- Calculated density: 9.7 g cm⁻³
- Formation energy from the elements: -0.68 eV/atom
- Uncorrected energy: -4.978 eV per atom

***

- Which of these has the lowest formation energy from the elements?
  Tm5InRh6

***

- What is the uncorrected energy in the third record?
  -5.762 eV per atom